! PBE Cs12Tl3Cd5, optimized geometry; values from VASP
&SYSTEM
  ibrav = 0, nat = 80, ntyp = 3
/
ATOMIC_SPECIES
Cs 132.91 Cs.upf
Cd 112.41 Cd.upf
Tl 204.38 Tl.upf
CELL_PARAMETERS angstrom
20.040 0.000 0.000
-6.680 18.894 0.000
-6.680 -9.447 16.362
ATOMIC_POSITIONS angstrom
Cs 2.749 2.346 14.786
Cd 1.670 5.904 14.317
Cs -7.975 5.045 11.891
Cs 13.329 1.949 0.890
Tl 8.350 1.181 6.136
Cs 6.650 2.978 9.424
Cs -4.075 10.561 12.652
Cs 4.075 2.067 5.361
Cd 5.010 3.543 2.045
Cs 12.065 -6.394 14.229
Cs 2.605 7.380 11.001
Tl -5.010 -3.543 14.317
Cs 10.050 16.944 0.890
Tl -1.670 8.266 10.226
Cs -0.591 11.792 1.577
Cd 5.010 14.170 4.091
Cs -2.045 6.394 14.229
Tl 11.690 12.989 2.045
Tl -8.350 9.447 12.272
Cs 2.045 1.350 9.758
Cs -1.295 10.796 6.604
Tl 1.670 9.447 4.091
Cs -7.271 0.193 13.543
Cd 8.350 8.266 6.136
Cd -1.670 15.351 2.045
Cs -6.650 7.498 15.472
Cd -6.680 4.723 8.181
Cs 3.370 -2.978 9.424
Cd 8.350 4.723 12.272
Cd 6.680 -4.723 8.181
Cs 3.931 11.985 1.243
Cs 10.050 4.927 6.048
Cs -0.735 1.114 3.710
Cd 6.680 9.447 0.000
Cs -2.045 -5.045 11.891
Tl -5.010 3.543 14.317
Cs -6.710 13.967 6.048
Cs -3.370 -7.498 15.472
Cs 14.655 4.402 4.471
Cs -3.370 4.520 10.315
Cd 0.000 0.000 0.000
Cd 8.350 -5.904 14.317
Cd 3.340 4.723 8.181
Cd -5.010 10.628 6.136
Cs 8.725 14.492 4.471
Cs 5.945 -2.067 5.361
Cs 2.749 -2.538 15.119
Tl 5.010 10.628 10.226
Cs 0.030 6.469 6.938
Cs 7.975 -1.350 9.758
Cs -0.591 6.908 1.243
Cs 8.725 3.052 2.133
Cs -2.749 -0.193 13.543
Cs 4.635 8.097 6.604
Cd -3.340 -4.723 8.181
Tl 1.670 -1.181 6.136
Cs 7.271 2.538 15.119
Cs 7.271 -2.346 14.786
Tl 11.690 5.904 2.045
Cd -1.670 1.181 10.226
Cs 10.754 -1.114 3.710
Cs 9.285 10.400 9.072
Cs 3.310 12.425 6.938
Cs -5.945 8.494 9.072
Cs 12.625 0.953 7.291
Cs 0.735 11.514 11.001
Cs 13.951 9.254 2.820
Cd 10.020 0.000 0.000
Cs 3.931 7.101 1.577
Cd -1.670 4.723 4.091
Cd 11.690 -1.181 10.226
Cs 9.429 9.640 2.820
Tl 5.010 0.000 12.272
Cs 7.415 8.333 12.652
Cs -5.385 15.841 2.133
Cd 1.670 -4.723 12.272
Cs -2.605 -0.953 7.291
Cd -3.340 9.447 0.000
Cs 13.390 -4.520 10.315
Tl 15.030 0.000 4.091
! - calculated formation energy (eV/f.u.) = 2.78
! - raw total energy (eV/cell) = -76.6